(1)
First-principles (GGA-PBE) data for an optimized crystal structure of BiAs, as listed in Alexandria.

abc: 5.0416 5.0417 6.4854
angles: 90.00 90.00 120.00
With the nearest neighbours (Å) after each atom.
Atoms (fractional coordinates):
Bi 0.3333 0.6667 0.7570  4 As 2.80-2.94
Bi 0.6667 0.3333 0.2570  4 As 2.80-2.94
As 0.6667 0.3333 0.8250  4 Bi 2.80-2.94
As 0.3333 0.6667 0.3250  4 Bi 2.80-2.94

- Space-group type: P6_3mc, No. 186
- DFT formation energy: 0.07 eV per atom
- M_tot: 0.0 μB per cell



(2)
First-principles (GGA-PBE) data for an optimized crystal structure of BiAs, as listed in Alexandria.

abc: 6.7128 6.7128 6.7128
angles: 90.00 90.00 90.00
With the nearest neighbours (Å) after each atom.
Atoms (fractional coordinates):
As 0.7500 0.2500 0.7500  4 Bi 2.91
As 0.2500 0.7500 0.7500  4 Bi 2.91
As 0.7500 0.7500 0.2500  4 Bi 2.91
As 0.2500 0.2500 0.2500  4 Bi 2.91
Bi 0.0000 0.5000 0.5000  4 As 2.91
Bi 0.0000 0.0000 0.0000  4 As 2.91
Bi 0.5000 0.5000 0.0000  4 As 2.91
Bi 0.5000 0.0000 0.5000  4 As 2.91

- Space-group type: F-43m, No. 216
- DFT formation energy: 0.21 eV per atom
- M_tot: 0.0 μB per cell



(3)
First-principles (GGA-PBE) data for an optimized crystal structure of BiAs, as listed in Alexandria.

abc: 6.0224 6.0367 12.1452
angles: 90.00 90.00 90.00
With the nearest neighbours (Å) after each atom.
Atoms (fractional coordinates):
As 0.7504 0.0022 0.2525  6 Bi 2.93-3.15
As 0.2495 0.9992 0.0021  6 Bi 2.93-3.14
As 0.2504 0.4978 0.7475  6 Bi 2.93-3.15
As 0.7496 0.9978 0.7525  6 Bi 2.93-3.15
As 0.2496 0.5022 0.2475  6 Bi 2.93-3.15
As 0.7505 0.4992 0.4979  6 Bi 2.93-3.14
As 0.7495 0.5008 0.9979  6 Bi 2.93-3.14
As 0.2505 0.0008 0.5021  6 Bi 2.93-3.14
Bi 0.7496 0.4867 0.2393  6 As 2.93-3.14
Bi 0.7504 0.5133 0.7393  6 As 2.93-3.14
Bi 0.2466 0.4964 0.4884  6 As 2.93-3.15
Bi 0.2504 0.9867 0.2607  6 As 2.93-3.14
Bi 0.2534 0.5036 0.9884  6 As 2.93-3.15
Bi 0.2496 0.0133 0.7607  6 As 2.93-3.14
Bi 0.7466 0.0036 0.5116  6 As 2.93-3.15
Bi 0.7534 0.9964 0.0116  6 As 2.93-3.15

- Space-group type: P2_12_12_1, No. 19
- DFT formation energy: 0.02 eV per atom
- M_tot: 0.0 μB per cell



(4)
First-principles (GGA-PBE) data for an optimized crystal structure of BiAs, as listed in Alexandria.

abc: 9.4283 9.4283 9.4283
angles: 90.00 90.00 90.00
With the nearest neighbours (Å) after each atom.
Atoms (fractional coordinates):
Bi 0.1437 0.8563 0.1437  3 As 2.85
Bi 0.3563 0.3563 0.3563  3 As 2.85
Bi 0.3563 0.6437 0.6437  3 As 2.85
Bi 0.8563 0.1437 0.1437  3 As 2.85
Bi 0.6437 0.6437 0.3563  3 As 2.85
Bi 0.8563 0.8563 0.8563  3 As 2.85
Bi 0.6437 0.3563 0.6437  3 As 2.85
Bi 0.1437 0.1437 0.8563  3 As 2.85
As 0.6582 0.6582 0.6582  3 Bi 2.85
As 0.3418 0.6582 0.3418  3 Bi 2.85
As 0.3418 0.3418 0.6582  3 Bi 2.85
As 0.8418 0.8418 0.1582  3 Bi 2.85
As 0.1582 0.1582 0.1582  3 Bi 2.85
As 0.8418 0.1582 0.8418  3 Bi 2.85
As 0.6582 0.3418 0.3418  3 Bi 2.85
As 0.1582 0.8418 0.8418  3 Bi 2.85

- Space-group type: I-43m, No. 217
- DFT formation energy: 0.29 eV per atom
- M_tot: 0.0 μB per cell



(5)
First-principles (GGA-PBE) data for an optimized crystal structure of Bi3As, as listed in Alexandria.

abc: 4.3674 4.8784 6.2843
angles: 90.00 90.00 90.00
With the nearest neighbours (Å) after each atom.
Atoms (fractional coordinates):
Bi 0.5000 0.2567 0.0000  2 As 2.85
Bi 0.5000 0.3813 0.5000  4 Bi 3.04-3.20
Bi 0.0000 0.8137 0.5000  2 Bi 3.04, 2 As 3.16
As 0.0000 0.8817 0.0000  4 Bi 2.85-3.16

- Space-group type: Pmm2, No. 25
- DFT formation energy: 0.04 eV per atom
- M_tot: 0.0 μB per cell



(6)
First-principles (GGA-PBE) data for an optimized crystal structure of BiAs4, as listed in Alexandria.

abc: 5.8413 6.0195 8.2257
angles: 107.01 90.00 90.00
With the nearest neighbours (Å) after each atom.
Atoms (fractional coordinates):
As 0.8398 0.7344 0.2419  2 As 2.49-2.50
As 0.1602 0.2656 0.7581  2 As 2.49-2.50
As 0.3398 0.2656 0.2581  2 As 2.49-2.50
As 0.6337 0.3779 0.0754  3 As 2.49-2.69
As 0.3663 0.6221 0.9246  3 As 2.49-2.69
As 0.8663 0.3779 0.5754  3 As 2.49-2.69
As 0.6602 0.7344 0.7419  2 As 2.49-2.50
As 0.1337 0.6221 0.4246  3 As 2.49-2.69
Bi 0.5000 0.0000 0.5000  6 As 3.00-3.05
Bi 0.0000 0.0000 0.0000  6 As 3.00-3.05

- Space-group type: P2_1/c, No. 14
- DFT formation energy: 0.10 eV per atom
- M_tot: 0.0 μB per cell



(7)
First-principles (GGA-PBE) data for an optimized crystal structure of Bi3As, as listed in Alexandria.

abc: 5.5068 9.6241 5.6216
angles: 90.00 90.00 90.00
With the nearest neighbours (Å) after each atom.
Atoms (fractional coordinates):
Bi 0.0000 0.0000 0.5000  2 As 2.75
Bi 0.5000 0.6651 0.5029  3 Bi 3.18-3.25, 3 As 3.21-3.24
Bi 0.5000 0.1651 0.9971  3 Bi 3.18-3.25, 3 As 3.21-3.24
Bi 0.5000 0.3349 0.4971  3 Bi 3.18-3.25, 3 As 3.21-3.24
Bi 0.0000 0.5000 0.0000  2 As 2.75
Bi 0.5000 0.8349 0.0029  3 Bi 3.18-3.25, 3 As 3.21-3.24
As 0.5000 0.0000 0.5000  2 Bi 2.75
As 0.5000 0.5000 0.0000  2 Bi 2.75

- Space-group type: Pbam, No. 55
- DFT formation energy: 0.55 eV per atom
- M_tot: 0.0 μB per cell



(8)
First-principles (GGA-PBE) data for an optimized crystal structure of BiAs, as listed in Alexandria.

abc: 8.8685 8.8685 6.0952
angles: 90.00 90.00 120.00
With the nearest neighbours (Å) after each atom.
Atoms (fractional coordinates):
As 0.0283 0.3510 0.7500  4 Bi 2.78-3.06
As 0.3227 0.9717 0.7500  4 Bi 2.78-3.06
As 0.6490 0.6773 0.7500  4 Bi 2.78-3.06
As 0.3510 0.3227 0.2500  4 Bi 2.78-3.06
As 0.6773 0.0283 0.2500  4 Bi 2.78-3.06
As 0.9717 0.6490 0.2500  4 Bi 2.78-3.06
Bi 0.0068 0.6606 0.7500  4 As 2.78-3.06
Bi 0.6538 0.9932 0.7500  4 As 2.78-3.06
Bi 0.6606 0.6538 0.2500  4 As 2.78-3.06
Bi 0.9932 0.3394 0.2500  4 As 2.78-3.06
Bi 0.3394 0.3462 0.7500  4 As 2.78-3.06
Bi 0.3462 0.0068 0.2500  4 As 2.78-3.06

- Space-group type: P6_3/m, No. 176
- DFT formation energy: 0.11 eV per atom
- M_tot: 0.0 μB per cell



(9)
First-principles (GGA-PBE) data for an optimized crystal structure of Bi2As3, as listed in Alexandria.

abc: 7.1241 7.1241 8.1775
angles: 64.18 64.18 60.00
With the nearest neighbours (Å) after each atom.
Atoms (fractional coordinates):
Bi 0.6316 0.6316 0.1052  6 As 2.98-3.01
Bi 0.8684 0.8684 0.3948  6 As 2.98-3.01
Bi 0.1316 0.1316 0.6052  6 As 2.98-3.01
Bi 0.3684 0.3684 0.8948  6 As 2.98-3.01
As 0.5237 0.9763 0.7500  2 As 2.79, 4 Bi 2.98-3.01
As 0.4763 0.0237 0.2500  2 As 2.79, 4 Bi 2.98-3.01
As 0.0237 0.2500 0.2500  2 As 2.79, 4 Bi 2.98-3.01
As 0.9763 0.7500 0.7500  2 As 2.79, 4 Bi 2.98-3.01
As 0.2500 0.4763 0.2500  2 As 2.79, 4 Bi 2.98-3.01
As 0.7500 0.5237 0.7500  2 As 2.79, 4 Bi 2.98-3.01

- Space-group type: R-3c, No. 167
- DFT formation energy: 0.30 eV per atom
- M_tot: 0.0 μB per cell



(10)
First-principles (GGA-PBE) data for an optimized crystal structure of BiAs, as listed in Alexandria.

abc: 9.4191 4.1557 8.7430
angles: 90.00 90.00 90.00
With the nearest neighbours (Å) after each atom.
Atoms (fractional coordinates):
As 0.5000 0.9928 0.8851  4 Bi 2.79-3.01
As 0.8530 0.5041 0.1108  1 As 2.77, 2 Bi 2.81
As 0.6470 0.4959 0.6108  1 As 2.77, 2 Bi 2.81
As 0.1470 0.5041 0.1108  1 As 2.77, 2 Bi 2.81
As 0.0000 0.0072 0.3851  4 Bi 2.79-3.01
As 0.3530 0.4959 0.6108  1 As 2.77, 2 Bi 2.81
Bi 0.5000 0.4934 0.0989  2 As 2.79-2.80
Bi 0.6810 0.9958 0.3982  3 As 2.81-3.01
Bi 0.8190 0.0042 0.8982  3 As 2.81-3.01
Bi 0.1810 0.0042 0.8982  3 As 2.81-3.01
Bi 0.0000 0.5066 0.5989  2 As 2.79-2.80
Bi 0.3190 0.9958 0.3982  3 As 2.81-3.01

- Space-group type: Pmn2_1, No. 31
- DFT formation energy: 0.11 eV per atom
- M_tot: 0.0 μB per cell



(11)
First-principles (GGA-PBE) data for an optimized crystal structure of BiAs4, as listed in Alexandria.

abc: 5.3856 5.3856 5.3856
angles: 90.00 90.00 90.00
With the nearest neighbours (Å) after each atom.
Atoms (fractional coordinates):
As 0.5000 0.5000 0.0000  2 Bi 2.69
As 0.5000 0.0000 0.5000  2 Bi 2.69
As 0.0000 0.5000 0.5000  2 Bi 2.69
As 0.0000 0.0000 0.0000  12 As 3.81
Bi 0.5000 0.5000 0.5000  6 As 2.69

- Space-group type: Pm-3m, No. 221
- DFT formation energy: 1.35 eV per atom
- M_tot: 0.0 μB per cell



(12)
First-principles (GGA-PBE) data for an optimized crystal structure of BiAs, as listed in Alexandria.

abc: 11.7965 11.7965 4.0908
angles: 90.00 90.00 90.00
With the nearest neighbours (Å) after each atom.
Atoms (fractional coordinates):
Bi 0.3866 0.2853 0.0000  3 As 2.79-2.90
Bi 0.6134 0.7147 0.0000  3 As 2.79-2.90
Bi 0.8866 0.7853 0.5000  3 As 2.79-2.90
Bi 0.1134 0.2147 0.5000  3 As 2.79-2.90
Bi 0.2147 0.8866 0.5000  3 As 2.79-2.90
Bi 0.7147 0.3866 0.0000  3 As 2.79-2.90
Bi 0.7853 0.1134 0.5000  3 As 2.79-2.90
Bi 0.2853 0.6134 0.0000  3 As 2.79-2.90
As 0.8444 0.6301 0.0000  3 Bi 2.79-2.90
As 0.8699 0.3444 0.5000  3 Bi 2.79-2.90
As 0.3699 0.8444 0.0000  3 Bi 2.79-2.90
As 0.1556 0.3699 0.0000  3 Bi 2.79-2.90
As 0.3444 0.1301 0.5000  3 Bi 2.79-2.90
As 0.6301 0.1556 0.0000  3 Bi 2.79-2.90
As 0.1301 0.6556 0.5000  3 Bi 2.79-2.90
As 0.6556 0.8699 0.5000  3 Bi 2.79-2.90

- Space-group type: I4/m, No. 87
- DFT formation energy: 0.15 eV per atom
- M_tot: 0.0 μB per cell



(13)
First-principles (GGA-PBE) data for an optimized crystal structure of Bi3As, as listed in Alexandria.

abc: 8.6235 8.6235 3.9606
angles: 90.00 90.00 120.00
With the nearest neighbours (Å) after each atom.
Atoms (fractional coordinates):
As 0.3333 0.6667 0.7500  6 Bi 3.04
As 0.6667 0.3333 0.2500  6 Bi 3.04
Bi 0.8207 0.6414 0.7500  2 As 3.04, 4 Bi 3.33
Bi 0.8207 0.1793 0.7500  2 As 3.04, 4 Bi 3.33
Bi 0.6414 0.8207 0.2500  2 As 3.04, 4 Bi 3.33
Bi 0.1793 0.8207 0.2500  2 As 3.04, 4 Bi 3.33
Bi 0.1793 0.3586 0.2500  2 As 3.04, 4 Bi 3.33
Bi 0.3586 0.1793 0.7500  2 As 3.04, 4 Bi 3.33

- Space-group type: P6_3/mmc, No. 194
- DFT formation energy: 0.15 eV per atom
- M_tot: 0.0 μB per cell



(14)
First-principles (GGA-PBE) data for an optimized crystal structure of BiAs, as listed in Alexandria.

abc: 8.1803 8.1803 8.1803
angles: 90.00 90.00 90.00
With the nearest neighbours (Å) after each atom.
Atoms (fractional coordinates):
As 0.5000 0.2500 0.0000  4 Bi 2.89
As 0.5000 0.7500 0.0000  4 Bi 2.89
As 0.2500 0.0000 0.5000  4 Bi 2.89
As 0.0000 0.5000 0.7500  4 Bi 2.89
As 0.0000 0.5000 0.2500  4 Bi 2.89
As 0.7500 0.0000 0.5000  4 Bi 2.89
Bi 0.0000 0.7500 0.5000  4 As 2.89
Bi 0.5000 0.0000 0.2500  4 As 2.89
Bi 0.2500 0.5000 0.0000  4 As 2.89
Bi 0.5000 0.0000 0.7500  4 As 2.89
Bi 0.0000 0.2500 0.5000  4 As 2.89
Bi 0.7500 0.5000 0.0000  4 As 2.89

- Space-group type: Pm-3n, No. 223
- DFT formation energy: 0.25 eV per atom
- M_tot: 0.0 μB per cell



(15)
First-principles (GGA-PBE) data for an optimized crystal structure of Bi2AsBr2, as listed in Alexandria.

abc: 4.4851 4.4851 10.4529
angles: 77.61 77.61 60.00
With the nearest neighbours (Å) after each atom.
Atoms (fractional coordinates):
As 0.0000 0.0000 0.0000  6 Bi 2.98
Br 0.2290 0.2290 0.3129  3 Bi 3.09
Br 0.7710 0.7710 0.6871  3 Bi 3.09
Bi 0.6178 0.6178 0.1465  3 As 2.98, 3 Br 3.09
Bi 0.3822 0.3822 0.8535  3 As 2.98, 3 Br 3.09

- Space-group type: R-3m, No. 166
- Formation energy (no corrections): -280 meV per atom
- M_tot: 0.0 μB per cell



(16)
First-principles (GGA-PBE) data for an optimized crystal structure of Bi2AsBr, as listed in Alexandria.

abc: 8.2490 8.2490 6.8452
angles: 52.95 52.95 90.00
With the nearest neighbours (Å) after each atom.
Atoms (fractional coordinates):
As 0.5000 0.5000 0.0000  4 Bi 2.86
As 0.2500 0.7500 0.5000  4 Bi 2.86
Br 0.7500 0.2500 0.5000  4 Bi 3.26, 2 As 3.58
Br 0.0000 0.0000 0.0000  4 Bi 3.26, 2 As 3.58
Bi 0.5885 0.1250 0.2500  2 As 2.86
Bi 0.8750 0.8385 0.7500  2 As 2.86
Bi 0.1615 0.6250 0.2500  2 As 2.86
Bi 0.3750 0.4115 0.7500  2 As 2.86

- Space-group type: I-42d, No. 122
- Formation energy (no corrections): -22 meV per atom
- M_tot: 0.0 μB per cell



(17)
First-principles (GGA-PBE) data for an optimized crystal structure of Bi2As2Br, as listed in Alexandria.

abc: 4.7211 4.7211 7.7516
angles: 72.27 72.27 90.00
With the nearest neighbours (Å) after each atom.
Atoms (fractional coordinates):
Bi 0.3682 0.3682 0.2636  4 As 2.88
Bi 0.6318 0.6318 0.7364  4 As 2.88
As 0.2500 0.7500 0.5000  4 Bi 2.88
As 0.7500 0.2500 0.5000  4 Bi 2.88
Br 0.0000 0.0000 0.0000  8 Bi 3.81, 8 As 4.22

- Space-group type: I4/mmm, No. 139
- Formation energy (no corrections): -80 meV per atom
- M_tot: 0.0 μB per cell



(18)
First-principles (GGA-PBE) data for an optimized crystal structure of BiAsBr2, as listed in Alexandria.

abc: 10.5379 10.5379 10.5379
angles: 19.24 19.24 19.24
With the nearest neighbours (Å) after each atom.
Atoms (fractional coordinates):
Bi 0.0000 0.0000 0.0000  2 Br 2.93
Br 0.9055 0.9055 0.9055  1 Bi 2.93, 3 As 3.02
Br 0.0945 0.0945 0.0945  1 Bi 2.93, 3 As 3.02
As 0.5000 0.5000 0.5000  6 Br 3.02

- Space-group type: R-3m, No. 166
- Formation energy (no corrections): 158 meV per atom
- M_tot: 0.0 μB per cell



(19)
First-principles (GGA-PBE) data for an optimized crystal structure of BiAsBr3, as listed in Alexandria.

abc: 5.4098 5.4098 5.4098
angles: 90.00 90.00 90.00
With the nearest neighbours (Å) after each atom.
Atoms (fractional coordinates):
Br 0.0000 0.0000 0.5000  2 As 2.70
Br 0.5000 0.0000 0.0000  2 As 2.70
Br 0.0000 0.5000 0.0000  2 As 2.70
As 0.0000 0.0000 0.0000  6 Br 2.70
Bi 0.5000 0.5000 0.5000  12 Br 3.83

- Space-group type: Pm-3m, No. 221
- Formation energy (no corrections): 151 meV per atom
- M_tot: 2.0 μB per cell



(20)
First-principles (GGA-PBE) data for an optimized crystal structure of BiAs3Br, as listed in Alexandria.

abc: 5.5246 5.5246 5.5246
angles: 90.00 90.00 90.00
With the nearest neighbours (Å) after each atom.
Atoms (fractional coordinates):
As 0.0000 0.5000 0.0000  2 Bi 2.76
As 0.5000 0.0000 0.0000  2 Bi 2.76
As 0.0000 0.0000 0.5000  2 Bi 2.76
Bi 0.0000 0.0000 0.0000  6 As 2.76
Br 0.5000 0.5000 0.5000  12 As 3.91

- Space-group type: Pm-3m, No. 221
- Formation energy (no corrections): 1099 meV per atom
- M_tot: 0.0 μB per cell